Entry from the Alexandria database: SrPrNd2 after structural relaxation (PBE-GGA).

Cell and atoms, written as CIF:
```
data_SrPrNd2
_chemical_formula_sum 'Sr1 Pr1 Nd2'
_symmetry_space_group_name_H-M 'P 4/m m m'
_symmetry_Int_Tables_number 123
_symmetry_space_group_name_Hall '-P 4 2'
_cell_length_a 5.3549
_cell_length_b 5.3549
_cell_length_c 5.3604
_cell_angle_alpha 90.00
_cell_angle_beta 90.00
_cell_angle_gamma 90.00
loop_
_atom_site_label
_atom_site_type_symbol
_atom_site_fract_x
_atom_site_fract_y
_atom_site_fract_z
Sr1 Sr 0.0000 0.0000 0.0000
Pr1 Pr 0.5000 0.5000 0.0000
Nd1 Nd 0.0000 0.5000 0.5000
```

Computed properties:
Fermi-level density of states in states/eV/cell: 7.187
DFT formation energy in meV/atom: 141
Total DFT energy (no corrections) in eV/atom: -3.859